1.
# AlI2N (PBE, relaxed)
data_AlI2N
_space_group_name_H-M_alt 'P 1'
_space_group_IT_number 1
_cell_length_a 7.5430
_cell_length_b 7.5430
_cell_length_c 6.7780
_cell_angle_alpha 56.19
_cell_angle_beta 56.19
_cell_angle_gamma 90.00
loop_
_space_group_symop_operation_xyz
'x,y,z'
loop_
_atom_site_label
_atom_site_type_symbol
_atom_site_fract_x
_atom_site_fract_y
_atom_site_fract_z
I1 I 0.8750 0.8948 0.7500
I2 I 0.6448 0.1250 0.2500
I3 I 0.3750 0.3552 0.7500
I4 I 0.1052 0.6250 0.2500
N1 N 0.2500 0.7500 0.5000
N2 N 0.5000 0.5000 0.0000
Al1 Al 0.0000 0.0000 0.0000
Al2 Al 0.7500 0.2500 0.5000
# formation energy (no corrections)	105.80	kJ/mol of atoms
# D(E_F)	0.4	states/eV/f.u.
# excess energy over the best structure of this formula in the dataset	0	meV per atom



2.
# Na3Tl3VI8 (PBE, relaxed)
data_Na3Tl3VI8
_space_group_name_H-M_alt 'P 1'
_space_group_IT_number 1
_cell_length_a 9.3002
_cell_length_b 9.3035
_cell_length_c 9.7600
_cell_angle_alpha 118.47
_cell_angle_beta 90.00
_cell_angle_gamma 119.99
loop_
_space_group_symop_operation_xyz
'x,y,z'
loop_
_atom_site_label
_atom_site_type_symbol
_atom_site_fract_x
_atom_site_fract_y
_atom_site_fract_z
Na1 Na 0.5000 0.5000 0.5000
Na2 Na 0.0000 0.5000 0.5000
Na3 Na 0.5000 0.0000 0.5000
V1 V 0.0000 0.0000 0.5000
Tl1 Tl 0.0000 0.5000 0.0000
Tl2 Tl 0.0000 0.0000 0.0000
Tl3 Tl 0.5000 0.5000 0.0000
I1 I 0.2593 0.5186 0.2781
I2 I 0.2154 0.9854 0.7008
I3 I 0.7700 0.9854 0.7008
I4 I 0.2300 0.0146 0.2992
I5 I 0.7846 0.5692 0.2992
I6 I 0.7407 0.4814 0.7219
I7 I 0.7846 0.0146 0.2992
I8 I 0.2154 0.4308 0.7008
# formation energy (no corrections)	-80.58	kJ/mol of atoms